i.
# NiPdIN2 | the Alexandria database | PBE | optimized geometry
# Calculated volume: 116 Å³/cell
data_NiPdIN2
_chemical_formula_sum 'Ni1 Pd1 I1 N2'
_cell_length_a 3.775
_cell_length_b 3.775
_cell_length_c 8.150
_cell_angle_alpha 90.00
_cell_angle_beta 90.00
_cell_angle_gamma 90.00
_symmetry_space_group_name_H-M 'P 4/m m m'
_symmetry_Int_Tables_number 123
_symmetry_space_group_name_Hall '-P 4 2'
loop_
_atom_site_label
_atom_site_type_symbol
_atom_site_fract_x
_atom_site_fract_y
_atom_site_fract_z
Ni1 Ni 0.000 0.000 0.000
Pd1 Pd 0.500 0.500 0.500
I1 I 0.500 0.500 0.000
N1 N 0.000 0.500 0.500


ii.
# NiPdIN2 | the Alexandria database | PBE | optimized geometry
# Calculated volume: 107 Å³/cell
data_NiPdIN2
_chemical_formula_sum 'Ni1 Pd1 I1 N2'
_cell_length_a 3.657
_cell_length_b 3.657
_cell_length_c 8.013
_cell_angle_alpha 90.00
_cell_angle_beta 90.00
_cell_angle_gamma 90.00
_symmetry_space_group_name_H-M 'P 4/m m m'
_symmetry_Int_Tables_number 123
_symmetry_space_group_name_Hall '-P 4 2'
loop_
_atom_site_label
_atom_site_type_symbol
_atom_site_fract_x
_atom_site_fract_y
_atom_site_fract_z
Ni1 Ni 0.000 0.000 0.000
Pd1 Pd 0.500 0.500 0.500
I1 I 0.000 0.000 0.500
N1 N 0.000 0.500 0.000


Among the structures above, stability is greatest for ii.